Record 1
Here is a geometry-optimized PmBIr structure from Alexandria via LeMat-Bulk. Energies are from GGA-PBE.

POSCAR file:
```
PmBIr
1.0
3.606 -0.020 -0.477
0.006 4.270 -0.157
-2.743 -0.546 7.012
B Pm Ir
2 2 2
Cartesian
1.354 0.489 3.260 B
-0.485 3.215 3.118 B
1.043 3.252 0.793 Pm
-0.174 0.452 5.585 Pm
-0.580 1.072 2.486 Ir
1.449 2.632 3.891 Ir
```

E ... -43.40 eV per cell
M_tot ... 0.0 μB per formula unit
Space group ... No. 11
Relative energy among the computed polymorphs ... 10.0 kJ per mole of atoms
Calculated density ... 11.3 g/cm3
Energy relative to the elements ... -471 meV/atom
Fermi-level density of states ... 0.538 states/eV per atom

---

Record 2
Here is a geometry-optimized NiAgRh3 structure from Alexandria via LeMat-Bulk. Energies are from GGA-PBE.

POSCAR file:
```
NiAgRh3
1.0
-4.306 0.433 -1.191
-0.761 -4.256 1.205
-1.013 1.358 4.156
Rh Ni Ag
3 1 1
Cartesian
-2.153 0.216 -0.596 Rh
-0.507 0.679 2.078 Rh
-0.381 -2.128 0.603 Rh
0.000 0.000 0.000 Ni
-3.040 -1.232 2.085 Ag
```

E ... -25.33 eV per cell
M_tot ... 3.3 μB per formula unit
Space group ... No. 221
Relative energy among the computed polymorphs ... 0.0 kJ per mole of atoms
Calculated density ... 8.7 g/cm3
Energy relative to the elements ... 1072 meV/atom
Fermi-level density of states ... 1.124 states/eV per atom

---

Record 3
Here is a geometry-optimized La4Nd6Cd structure from Alexandria via LeMat-Bulk. Energies are from GGA-PBE.

POSCAR file:
```
La4Nd6Cd
1.0
7.542 -2.880 -5.487
-5.195 8.058 1.833
-1.857 2.880 9.140
Nd La Cd
6 4 1
Cartesian
-3.805 5.903 7.938 Nd
-4.882 7.574 5.581 Nd
2.843 0.000 1.827 Nd
1.174 2.589 -1.827 Nd
3.539 0.485 -1.273 Nd
-1.412 5.036 4.214 Nd
-5.196 8.061 10.297 La
4.857 -1.834 -3.519 La
0.156 2.877 1.968 La
-6.377 9.892 7.714 La
0.000 0.000 0.000 Cd
```

E ... -47.13 eV per cell
M_tot ... 0.0 μB per formula unit
Space group ... No. 121
Calculated density ... 6.6 g/cm3
Energy relative to the elements ... 191 meV/atom
Fermi-level density of states ... 1.443 states/eV per atom

---

Record 4
Here is a geometry-optimized KNF structure from Alexandria via LeMat-Bulk. Energies are from GGA-PBE.

POSCAR file:
```
KNF
1.0
4.615 -0.182 -0.172
-2.431 3.927 0.172
-2.463 -1.073 7.831
N K F
2 2 2
Cartesian
-0.200 2.626 4.920 N
-0.079 0.046 2.911 N
2.255 1.194 1.279 K
-2.535 1.478 6.552 K
-0.269 0.157 6.499 F
-0.010 2.515 1.332 F
```

E ... -22.58 eV per cell
M_tot ... 2.9 μB per formula unit
Space group ... No. 12
Relative energy among the computed polymorphs ... 171.7 kJ per mole of atoms
Calculated density ... 1.7 g/cm3
Raw formation energy ... 0.002 eV/atom
Fermi-level density of states ... 0.000 states/eV per atom

---

Record 5
Here is a geometry-optimized Pu2BiH structure from Alexandria via LeMat-Bulk. Energies are from GGA-PBE.

POSCAR file:
```
Pu2BiH
1.0
3.389 0.000 0.000
-1.694 5.264 0.000
0.000 0.000 8.463
Pu H Bi
4 2 2
Cartesian
0.000 3.188 4.802 Pu
1.694 2.076 0.570 Pu
1.694 2.076 3.661 Pu
0.000 3.188 7.893 Pu
0.000 2.336 2.116 H
1.694 2.928 6.348 H
1.694 4.874 2.116 Bi
0.000 0.390 6.348 Bi
```

E ... -71.12 eV per cell
M_tot ... 2.2 μB per formula unit
Space group ... No. 63
Relative energy among the computed polymorphs ... 34.6 kJ per mole of atoms
Calculated density ... 15.4 g/cm3
Fermi-level density of states ... 1.597 states/eV per atom

---

Record 6
Here is a geometry-optimized CaY2Cd2 structure from Alexandria via LeMat-Bulk. Energies are from GGA-PBE.

POSCAR file:
```
CaY2Cd2
1.0
-8.112 3.125 -0.259
-0.914 -3.042 -8.096
-1.337 -3.354 1.411
Y Ca Cd
4 2 4
Cartesian
-7.760 -0.086 -2.234 Y
-6.817 -2.146 -6.237 Y
-3.546 -1.124 -0.707 Y
-2.603 -3.184 -4.710 Y
0.000 0.000 0.000 Ca
-4.513 0.042 -4.178 Ca
-1.407 -0.707 -3.014 Cd
-7.619 0.791 -5.341 Cd
-5.247 1.574 -1.232 Cd
-3.779 -1.490 -7.123 Cd
```

E ... -35.82 eV per cell
M_tot ... 0.0 μB per formula unit
Space group ... No. 127
Relative energy among the computed polymorphs ... 3.8 kJ per mole of atoms
Calculated density ... 5.0 g/cm3
Energy relative to the elements ... -230 meV/atom
Fermi-level density of states ... 1.279 states/eV per atom

---

Record 7
Here is a geometry-optimized ErZnPd structure from Alexandria via LeMat-Bulk. Energies are from GGA-PBE.

POSCAR file:
```
ErZnPd
1.0
3.545 0.000 0.000
0.000 3.545 0.000
-1.773 -1.773 4.544
Pd Er Zn
1 1 1
Cartesian
0.000 0.000 2.501 Pd
1.773 1.773 4.057 Er
1.773 1.773 1.166 Zn
```

E ... -13.01 eV per cell
M_tot ... 0.0 μB per formula unit
Space group ... No. 107
Calculated density ... 9.9 g/cm3
Energy relative to the elements ... -661 meV/atom
Fermi-level density of states ... 0.319 states/eV per atom

---

Record 8
Here is a geometry-optimized BaTaBe structure from Alexandria via LeMat-Bulk. Energies are from GGA-PBE.

POSCAR file:
```
BaTaBe
1.0
-3.446 -6.083 -2.368
-0.864 -7.242 -1.142
-1.578 -0.863 2.505
Be Ba Ta
1 1 1
Cartesian
-2.409 -4.656 0.674 Be
-4.276 -13.168 -3.434 Ba
-3.513 -9.689 -1.755 Ta
```

E ... -15.24 eV per cell
M_tot ... 0.0 μB per formula unit
Space group ... No. 107
Relative energy among the computed polymorphs ... 0.0 kJ per mole of atoms
Calculated density ... 8.1 g/cm3
Energy relative to the elements ... 753 meV/atom
Fermi-level density of states ... 0.819 states/eV per atom